Record 1
Density functional theory data (PBE) for a relaxed Ba2LaZn crystal.

The value obtained for the energy is -2.308 eV/atom. The value obtained for the density of states at the Fermi level is 20.71 states/eV/cell. The calculation puts the magnetic moment at 0.0 μB per formula unit. Its energy relative to the elements is 0.20 eV/atom.

Geometry as CIF:
```
data_Ba2LaZn
_chemical_formula_sum 'Ba8 La4 Zn4'
_cell_length_a 9.694
_cell_length_b 9.694
_cell_length_c 7.097
_cell_angle_alpha 90.00
_cell_angle_beta 90.00
_cell_angle_gamma 90.00
_space_group_name_H-M_alt 'I -4 2 d'
_space_group_IT_number 122
_space_group_name_Hall 'I -4 2bw'
loop_
_atom_site_label
_atom_site_type_symbol
_atom_site_fract_x
_atom_site_fract_y
_atom_site_fract_z
Ba1 Ba 0.198 0.250 0.125
La1 La 0.000 0.000 0.500
Zn1 Zn 0.000 0.000 0.000
```

=====

Record 2
Density functional theory data (PBE) for a relaxed AgBiAs2O8 crystal.

The raw formation energy comes out at -0.837 eV/atom. The value obtained for the energy is -5.479 eV/atom. The value obtained for the density of states at the Fermi level is 11.80 states/eV/cell. The calculation puts the magnetic moment at 2.0 μB per formula unit.

Geometry as CIF:
```
data_AgBiAs2O8
_chemical_formula_sum 'Ag2 Bi2 As4 O16'
_cell_length_a 7.246
_cell_length_b 7.246
_cell_length_c 6.523
_cell_angle_alpha 90.00
_cell_angle_beta 90.00
_cell_angle_gamma 90.00
_space_group_name_H-M_alt 'I -4 m 2'
_space_group_IT_number 119
_space_group_name_Hall 'I -4 -2'
loop_
_atom_site_label
_atom_site_type_symbol
_atom_site_fract_x
_atom_site_fract_y
_atom_site_fract_z
Ag1 Ag 0.000 0.000 0.000
Bi1 Bi 0.000 0.500 0.750
As1 As 0.000 0.000 0.500
As2 As 0.000 0.500 0.250
O1 O 0.000 0.179 0.676
O2 O 0.000 0.323 0.072
```

=====

Record 3
Density functional theory data (PBE) for a relaxed CdIn2Au crystal.

The value obtained for the energy is -2.451 eV/atom. The value obtained for the density of states at the Fermi level is 1.02 states/eV/cell. The calculation puts the magnetic moment at 0.0 μB per formula unit. Its energy relative to the elements is -0.03 eV/atom.

Geometry as CIF:
```
data_CdIn2Au
_chemical_formula_sum 'Cd1 In2 Au1'
_cell_length_a 3.409
_cell_length_b 4.180
_cell_length_c 6.533
_cell_angle_alpha 90.00
_cell_angle_beta 90.00
_cell_angle_gamma 90.00
_space_group_name_H-M_alt 'P m m m'
_space_group_IT_number 47
_space_group_name_Hall '-P 2 2'
loop_
_atom_site_label
_atom_site_type_symbol
_atom_site_fract_x
_atom_site_fract_y
_atom_site_fract_z
Cd1 Cd 0.000 0.000 0.000
In1 In 0.500 0.500 0.265
Au1 Au 0.000 0.000 0.500
```

=====

Record 4
Density functional theory data (PBE) for a relaxed ScTlBr2 crystal.

The raw formation energy comes out at -0.935 eV/atom. The value obtained for the energy is -3.946 eV/atom. The value obtained for the density of states at the Fermi level is 5.16 states/eV/cell. The value obtained for the excess energy over the best structure of this formula in the dataset is 0.40 eV per formula unit. The calculation puts the magnetic moment at 0.1 μB per formula unit.

Geometry as CIF:
```
data_ScTlBr2
_chemical_formula_sum 'Sc2 Tl2 Br4'
_cell_length_a 3.549
_cell_length_b 5.887
_cell_length_c 12.461
_cell_angle_alpha 90.00
_cell_angle_beta 90.00
_cell_angle_gamma 90.00
_space_group_name_H-M_alt 'I m m m'
_space_group_IT_number 71
_space_group_name_Hall '-I 2 2'
loop_
_atom_site_label
_atom_site_type_symbol
_atom_site_fract_x
_atom_site_fract_y
_atom_site_fract_z
Sc1 Sc 0.000 0.000 0.000
Tl1 Tl 0.000 0.000 0.500
Br1 Br 0.000 0.500 0.338
```

=====

Record 5
Density functional theory data (PBE) for a relaxed Er11Al9Ag4 crystal.

The value obtained for the energy is -4.328 eV/atom. The value obtained for the density of states at the Fermi level is 25.66 states/eV/cell. The calculation puts the magnetic moment at 0.0 μB per formula unit. Its energy relative to the elements is -0.36 eV/atom.

Geometry as CIF:
```
data_Er11Al9Ag4
_chemical_formula_sum 'Er22 Al18 Ag8'
_cell_length_a 14.195
_cell_length_b 21.366
_cell_length_c 3.594
_cell_angle_alpha 90.00
_cell_angle_beta 90.00
_cell_angle_gamma 90.00
_space_group_name_H-M_alt 'C m m m'
_space_group_IT_number 65
_space_group_name_Hall '-C 2 2'
loop_
_atom_site_label
_atom_site_type_symbol
_atom_site_fract_x
_atom_site_fract_y
_atom_site_fract_z
Er1 Er 0.000 0.000 0.000
Er2 Er 0.000 0.161 0.000
Er3 Er 0.000 0.361 0.000
Er4 Er 0.209 0.500 0.000
Er5 Er 0.233 0.176 0.000
Al1 Al 0.000 0.500 0.500
Al2 Al 0.103 0.262 0.500
Al3 Al 0.141 0.072 0.500
Ag1 Ag 0.152 0.400 0.500
```

=====

Record 6
Density functional theory data (PBE) for a relaxed YPaCo3 crystal.

The value obtained for the energy is -7.745 eV/atom. The value obtained for the density of states at the Fermi level is 17.52 states/eV/cell. The value obtained for the excess energy over the best structure of this formula in the dataset is 0.00 eV per formula unit. The calculation puts the magnetic moment at 0.3 μB per formula unit. Its energy relative to the elements is -0.29 eV/atom.

Geometry as CIF:
```
data_YPaCo3
_chemical_formula_sum 'Y4 Pa4 Co12'
_cell_length_a 3.827
_cell_length_b 22.614
_cell_length_c 4.040
_cell_angle_alpha 90.00
_cell_angle_beta 90.00
_cell_angle_gamma 90.00
_space_group_name_H-M_alt 'C m c m'
_space_group_IT_number 63
_space_group_name_Hall '-C 2c 2'
loop_
_atom_site_label
_atom_site_type_symbol
_atom_site_fract_x
_atom_site_fract_y
_atom_site_fract_z
Y1 Y 0.000 0.070 0.250
Pa1 Pa 0.000 0.201 0.750
Co1 Co 0.000 0.312 0.750
Co2 Co 0.000 0.374 0.250
Co3 Co 0.000 0.476 0.250
```

=====

Record 7
Density functional theory data (PBE) for a relaxed Os2Ru3Rh crystal.

The value obtained for the energy is -9.522 eV/atom. The value obtained for the density of states at the Fermi level is 26.25 states/eV/cell. The calculation puts the magnetic moment at 0.0 μB per formula unit. Its energy relative to the elements is 0.08 eV/atom.

Geometry as CIF:
```
data_Os2Ru3Rh
_chemical_formula_sum 'Os8 Ru12 Rh4'
_cell_length_a 13.297
_cell_length_b 5.425
_cell_length_c 4.700
_cell_angle_alpha 90.00
_cell_angle_beta 90.04
_cell_angle_gamma 90.00
_space_group_name_H-M_alt 'C 1 2/c 1'
_space_group_IT_number 15
_space_group_name_Hall '-C 2yc'
loop_
_atom_site_label
_atom_site_type_symbol
_atom_site_fract_x
_atom_site_fract_y
_atom_site_fract_z
Os1 Os 0.167 0.123 0.082
Ru1 Ru 0.000 0.120 0.750
Ru2 Ru 0.170 0.375 0.585
Rh1 Rh 0.000 0.373 0.250
```

=====

Record 8
Density functional theory data (PBE) for a relaxed Ca2PaTaN4 crystal.

The raw formation energy comes out at -1.320 eV/atom. The value obtained for the energy is -8.652 eV/atom. The value obtained for the density of states at the Fermi level is 2.76 states/eV/cell. The calculation puts the magnetic moment at 0.0 μB per formula unit.

Geometry as CIF:
```
data_Ca2PaTaN4
_chemical_formula_sum 'Ca2 Pa1 Ta1 N4'
_cell_length_a 5.819
_cell_length_b 3.375
_cell_length_c 5.934
_cell_angle_alpha 90.00
_cell_angle_beta 108.55
_cell_angle_gamma 90.00
_space_group_name_H-M_alt 'P 1 2/m 1'
_space_group_IT_number 10
_space_group_name_Hall '-P 2y'
loop_
_atom_site_label
_atom_site_type_symbol
_atom_site_fract_x
_atom_site_fract_y
_atom_site_fract_z
Ca1 Ca 0.000 0.000 0.000
Ca2 Ca 0.500 0.500 0.000
Pa1 Pa 0.000 0.500 0.500
Ta1 Ta 0.500 0.000 0.500
N1 N 0.257 0.000 0.715
N2 N 0.274 0.500 0.290
```

=====

Record 9
Density functional theory data (PBE) for a relaxed TaTeW2 crystal.

The raw formation energy comes out at 0.617 eV/atom. The value obtained for the energy is -9.608 eV/atom. The value obtained for the density of states at the Fermi level is 8.76 states/eV/cell. The calculation puts the magnetic moment at 0.0 μB per formula unit.

Geometry as CIF:
```
data_TaTeW2
_chemical_formula_sum 'Ta2 Te2 W4'
_cell_length_a 3.259
_cell_length_b 4.899
_cell_length_c 9.398
_cell_angle_alpha 90.00
_cell_angle_beta 90.00
_cell_angle_gamma 90.00
_space_group_name_H-M_alt 'C m m m'
_space_group_IT_number 65
_space_group_name_Hall '-C 2 2'
loop_
_atom_site_label
_atom_site_type_symbol
_atom_site_fract_x
_atom_site_fract_y
_atom_site_fract_z
Ta1 Ta 0.000 0.000 0.000
Te1 Te 0.000 0.000 0.500
W1 W 0.000 0.500 0.230
```

=====

Record 10
Density functional theory data (PBE) for a relaxed AcLaCdSn crystal.

The value obtained for the energy is -3.981 eV/atom. The value obtained for the density of states at the Fermi level is 4.03 states/eV/cell. The value obtained for the excess energy over the best structure of this formula in the dataset is 0.08 eV per formula unit. The calculation puts the magnetic moment at 0.0 μB per formula unit. Its energy relative to the elements is -0.49 eV/atom.

Geometry as CIF:
```
data_AcLaCdSn
_chemical_formula_sum 'Ac1 La1 Cd1 Sn1'
_cell_length_a 4.067
_cell_length_b 4.067
_cell_length_c 7.849
_cell_angle_alpha 90.00
_cell_angle_beta 90.00
_cell_angle_gamma 90.00
_space_group_name_H-M_alt 'P 4 m m'
_space_group_IT_number 99
_space_group_name_Hall 'P 4 -2'
loop_
_atom_site_label
_atom_site_type_symbol
_atom_site_fract_x
_atom_site_fract_y
_atom_site_fract_z
Ac1 Ac 0.000 0.000 0.000
La1 La 0.000 0.000 0.498
Cd1 Cd 0.500 0.500 0.736
Sn1 Sn 0.500 0.500 0.262
```

=====

Record 11
Density functional theory data (PBE) for a relaxed VZnCo2 crystal.

The value obtained for the energy is -6.293 eV/atom. The value obtained for the density of states at the Fermi level is 3.79 states/eV/cell. The calculation puts the magnetic moment at 0.1 μB per formula unit. Its energy relative to the elements is -0.14 eV/atom.

Geometry as CIF:
```
data_VZnCo2
_chemical_formula_sum 'V1 Zn1 Co2'
_cell_length_a 2.923
_cell_length_b 2.923
_cell_length_c 5.555
_cell_angle_alpha 90.00
_cell_angle_beta 90.00
_cell_angle_gamma 90.00
_space_group_name_H-M_alt 'P 4/m m m'
_space_group_IT_number 123
_space_group_name_Hall '-P 4 2'
loop_
_atom_site_label
_atom_site_type_symbol
_atom_site_fract_x
_atom_site_fract_y
_atom_site_fract_z
V1 V 0.000 0.000 0.000
Zn1 Zn 0.000 0.000 0.500
Co1 Co 0.500 0.500 0.235
```

=====

Record 12
Density functional theory data (PBE) for a relaxed HoGe2Pd2 crystal.

The value obtained for the energy is -5.623 eV/atom. The value obtained for the density of states at the Fermi level is 10.27 states/eV/cell. The calculation puts the magnetic moment at 0.0 μB per formula unit. Its energy relative to the elements is -0.78 eV/atom.

Geometry as CIF:
```
data_HoGe2Pd2
_chemical_formula_sum 'Ho4 Ge8 Pd8'
_cell_length_a 6.026
_cell_length_b 6.045
_cell_length_c 10.142
_cell_angle_alpha 90.00
_cell_angle_beta 90.00
_cell_angle_gamma 90.00
_space_group_name_H-M_alt 'F m m m'
_space_group_IT_number 69
_space_group_name_Hall '-F 2 2'
loop_
_atom_site_label
_atom_site_type_symbol
_atom_site_fract_x
_atom_site_fract_y
_atom_site_fract_z
Ho1 Ho 0.000 0.000 0.000
Ge1 Ge 0.000 0.000 0.380
Pd1 Pd 0.250 0.250 0.250
```